A.
ScGe3Sb (PBE, optimized geometry); spin magnetization = 0.00 μB/f.u.
1.0
5.217 0.000 0.000
0.000 5.217 0.000
0.000 0.000 5.217
Sc Ge Sb
1 3 1
Cartesian
0.000 0.000 0.000
0.000 2.608 2.608
2.608 0.000 2.608
2.608 2.608 0.000
2.608 2.608 2.608

---

B.
ScGe3Sb (PBE, optimized geometry); spin magnetization = 0.00 μB/f.u.
1.0
5.141 0.000 0.000
0.000 5.141 0.000
0.000 0.000 5.141
Sc Ge Sb
1 3 1
Cartesian
0.000 0.000 0.000
0.000 0.000 2.570
0.000 2.570 0.000
2.570 0.000 0.000
2.570 2.570 2.570

---

What should be chosen as the least stable of them? Choose A.

---

A.
Sc3GeSb (PBE, optimized geometry); spin magnetization = 0.00 μB/f.u.
1.0
3.701 2.137 5.368
-3.701 2.137 5.368
0.000 -4.273 5.368
Sc Ge Sb
6 2 2
Cartesian
-1.657 -1.998 6.714
-2.559 0.436 9.391
-0.902 2.434 6.714
0.902 -2.434 9.391
2.559 -0.436 6.714
1.657 1.998 9.391
0.000 0.000 5.870
0.000 0.000 10.235
0.000 0.000 1.940
0.000 0.000 14.164

---

B.
Sc3GeSb (PBE, optimized geometry); spin magnetization = 0.00 μB/f.u.
1.0
5.020 0.000 0.000
0.000 5.020 0.000
0.000 0.000 5.020
Sc Ge Sb
3 1 1
Cartesian
0.000 0.000 2.510
0.000 2.510 0.000
2.510 0.000 0.000
0.000 0.000 0.000
2.510 2.510 2.510

---

What should be chosen as the least stable of them? Choose B.

---

A.
Ge2Sb2Se (PBE, optimized geometry); spin magnetization = 0.00 μB/f.u.
1.0
7.988 0.000 0.000
0.000 7.988 0.000
0.000 0.000 3.996
Ge Sb Se
4 4 2
Cartesian
0.921 3.073 0.000
3.073 7.067 0.000
4.915 0.921 0.000
7.067 4.915 0.000
1.608 5.602 1.998
2.386 1.608 1.998
5.602 6.381 1.998
6.381 2.386 1.998
0.000 0.000 1.998
3.994 3.994 1.998

---

B.
Ge2Sb2Se (PBE, optimized geometry); spin magnetization = 0.00 μB/f.u.
1.0
7.950 0.000 0.000
0.000 7.950 0.000
0.000 0.000 3.723
Ge Sb Se
4 4 2
Cartesian
1.246 2.729 0.000
2.729 6.704 0.000
5.221 1.246 0.000
6.704 5.221 0.000
1.189 5.164 1.861
2.786 1.189 1.861
5.164 6.761 1.861
6.761 2.786 1.861
0.000 0.000 0.000
3.975 3.975 0.000

---

What should be chosen as the least stable of them? Choose B.